(1)
# K2CrCu

A geometry-optimized K2CrCu structure (PBE, the Alexandria database).

Computed properties:
The calculation puts the energy above the lowest structure with this stoichiometry at 287.9 meV per atom. The calculation puts the total DFT energy (no corrections) at -3.086 eV/atom. The value obtained for the formation energy is 0.893 eV/atom.

abc: 5.7825 5.7825 5.7825
angles: 60.00 60.00 60.00
Fractional positions:
Cr: 0.0000 0.0000 0.0000
K: 0.2500 0.2500 0.2500
K: 0.7500 0.7500 0.7500
Cu: 0.5000 0.5000 0.5000



(2)
# K2CrCu

A geometry-optimized K2CrCu structure (PBE, the Alexandria database).

Computed properties:
The calculation puts the energy above the lowest structure with this stoichiometry at 0.0 meV per atom. The calculation puts the total DFT energy (no corrections) at -3.374 eV/atom. The value obtained for the formation energy is 0.605 eV/atom.

abc: 10.1478 10.1478 4.0458
angles: 78.75 78.75 19.36
Fractional positions:
Cr: 0.2500 0.2500 0.2500
Cu: 0.7500 0.7500 0.7500
K: 0.1019 0.1019 0.8940
K: 0.3981 0.3981 0.6060



(3)
# KMnCr2Cu

A geometry-optimized KMnCr2Cu structure (PBE, the Alexandria database).

Computed properties:
The calculation puts the total DFT energy (no corrections) at -4.515 eV/atom. The value obtained for the formation energy is 2.207 eV/atom.

abc: 5.2295 4.8493 5.2295
angles: 90.00 90.00 90.00
Fractional positions:
Cr: 0.0000 0.0000 0.5000
Cr: 0.5000 0.0000 0.0000
K: 0.0000 0.0000 0.0000
Mn: 0.5000 0.5000 0.5000
Cu: 0.0000 0.5000 0.0000



no.,V (Å³/f.u.),magnetic moment (μB/cell),density (g/cm3)
1,136.7,5.18,2.4
2,135.4,4.60,2.4
3,132.6,5.20,3.3